GdThSn2 (PBE, relaxed); total magnetization = 7.588 μB per formula unit; energy relative to the elements = -0.579 eV/atom; E above lowest polymorph = 25 meV/atom
1.0
5.0092 0.0000 0.0000
0.0000 5.0092 0.0000
0.0000 0.0000 4.4589
Gd Th Sn
1 1 2
Direct
0.0000 0.0000 0.0000
0.5000 0.5000 0.0000
0.0000 0.5000 0.5000
0.5000 0.0000 0.5000


GdTh2Sn (PBE, relaxed); total magnetization = 7.550 μB per formula unit; energy relative to the elements = -0.235 eV/atom; E above lowest polymorph = 110 meV/atom
1.0
4.1990 0.0000 0.0000
0.0000 4.1990 0.0000
0.0000 0.0000 6.9665
Gd Th Sn
1 2 1
Direct
0.0000 0.0000 0.0000
0.5000 0.5000 0.2737
0.5000 0.5000 0.7263
0.0000 0.0000 0.5000


GdTh2Sn (PBE, relaxed); total magnetization = 7.259 μB per formula unit; energy relative to the elements = -0.344 eV/atom; E above lowest polymorph = 0 meV/atom
1.0
4.8340 0.0000 0.0000
0.0000 4.8340 0.0000
0.0000 0.0000 5.0356
Gd Th Sn
1 2 1
Direct
0.0000 0.0000 0.0000
0.0000 0.5000 0.5000
0.5000 0.0000 0.5000
0.5000 0.5000 0.0000


Q: total magnetization of number 3 (GdTh2Sn)?
A: 7.259 μB per formula unit


Q: Among the records above, which one has the lowest energy relative to the elements?
A: GdThSn2


Repeat the third record exactly.
GdTh2Sn (PBE, relaxed); total magnetization = 7.259 μB per formula unit; energy relative to the elements = -0.344 eV/atom; E above lowest polymorph = 0 meV/atom
1.0
4.8340 0.0000 0.0000
0.0000 4.8340 0.0000
0.0000 0.0000 5.0356
Gd Th Sn
1 2 1
Direct
0.0000 0.0000 0.0000
0.0000 0.5000 0.5000
0.5000 0.0000 0.5000
0.5000 0.5000 0.0000


Q: Which of these has the highest energy relative to the elements?
A: number 2